A plane-wave DFT calculation with PBE+U was carried out for a relaxed structure of SrHg2MoO6.

Lattice parameters (Å, degrees): 5.8898 5.8893 6.0738 60.97 60.97 59.99
With the nearest neighbours (Å) after each atom.
Element x y z (fractional)
Sr (0.8104, 0.8104, 0.5688)  6 O 2.47-2.61
Hg (0.5305, 0.5306, 0.4085)  6 O 2.36-2.49
Hg (0.0622, 0.0626, 0.8132)  3 O 2.21
Mo (0.3101, 0.3100, 0.0701)  6 O 1.87-2.07
O (0.5339, 0.2289, 0.2550)  1 Mo 1.87
O (0.2291, 0.9819, 0.2546)  1 Mo 1.88
O (0.9817, 0.5340, 0.2549)  1 Mo 1.88
O (0.4037, 0.6624, 0.7970)  1 Mo 2.07, 1 Hg 2.21
O (0.6626, 0.1369, 0.7968)  1 Mo 2.07, 1 Hg 2.21
O (0.1374, 0.4039, 0.7963)  1 Mo 2.07, 1 Hg 2.21

Values from the calculation:
E_tot, eV for the cell shown: -52.30